Below is GeAsBr2Cl after structural relaxation, with properties calculated at the PBE level.

Computed properties:
The value obtained for the formation energy (no corrections) is 777 meV/atom. The distance to the lowest polymorph of the same formula comes out at 520 meV/atom. The calculation puts the total energy at -2.12 eV per atom.

Geometry as POSCAR:
```
GeAsBr2Cl
1.0
5.098 0.000 0.000
0.000 5.098 0.000
0.000 0.000 5.362
Ge As Br Cl
1 1 2 1
Cartesian
0.000 0.000 0.000
2.549 2.549 0.000
0.000 2.549 2.681
2.549 0.000 2.681
2.549 2.549 2.681
```

Below is Dy9Al2In after structural relaxation, with properties calculated at the PBE level.

Computed properties:
The calculation puts the total energy at -4.52 eV per atom.

Geometry as POSCAR:
```
Dy9Al2In
1.0
4.787 0.000 0.000
0.000 4.787 0.000
0.000 0.000 14.355
Dy Al In
9 2 1
Cartesian
0.000 0.000 0.000
0.000 0.000 4.818
0.000 0.000 9.537
0.000 2.393 2.470
0.000 2.393 7.177
0.000 2.393 11.884
2.393 0.000 2.470
2.393 0.000 7.177
2.393 0.000 11.884
2.393 2.393 4.806
2.393 2.393 9.549
2.393 2.393 0.000
```

Below is VMoI2 after structural relaxation, with properties calculated at the PBE level.

Computed properties:
The value obtained for the formation energy (no corrections) is 934 meV/atom. The distance to the lowest polymorph of the same formula comes out at 0 meV/atom. The calculation puts the total energy at -4.83 eV per atom.

Geometry as POSCAR:
```
VMoI2
1.0
0.000 3.363 3.363
3.363 0.000 3.363
3.363 3.363 0.000
V Mo I
1 1 2
Cartesian
0.000 0.000 0.000
3.363 3.363 3.363
1.682 1.682 1.682
5.045 5.045 5.045
```

Please write out number 1 again, unchanged.
Below is GeAsBr2Cl after structural relaxation, with properties calculated at the PBE level.

Computed properties:
The value obtained for the formation energy (no corrections) is 777 meV/atom. The distance to the lowest polymorph of the same formula comes out at 520 meV/atom. The calculation puts the total energy at -2.12 eV per atom.

Geometry as POSCAR:
```
GeAsBr2Cl
1.0
5.098 0.000 0.000
0.000 5.098 0.000
0.000 0.000 5.362
Ge As Br Cl
1 1 2 1
Cartesian
0.000 0.000 0.000
2.549 2.549 0.000
0.000 2.549 2.681
2.549 0.000 2.681
2.549 2.549 2.681
```